Material: ThMnCr
Method: DFT, PBE
State: relaxed

Computed properties:
* total magnetization: 1.221 Bohr magnetons per cell
* formation energy from the elements: 0.62 eV per atom
* crystal system: tetragonal
* energy: -97.409 eV for the cell shown

Lattice parameters (Å, degrees): 6.6633 6.6633 5.8621 90.00 90.00 90.00
Site moments in Bohr magnetons follow the coordinates.
Fractional positions:
Cr 0.3699 0.3699 0.0000  2.03
Cr 0.6301 0.6301 0.5000  2.03
Cr 0.1301 0.8699 0.2500  2.03
Cr 0.8699 0.1301 0.7500  2.03
Mn 0.6292 0.3708 0.7500  -1.85
Mn 0.8708 0.8708 0.5000  -1.85
Mn 0.1292 0.1292 0.0000  -1.85
Mn 0.3708 0.6292 0.2500  -1.85
Th 0.7548 0.2452 0.2500  0.04
Th 0.7452 0.7452 0.0000  0.04
Th 0.2548 0.2548 0.5000  0.04
Th 0.2452 0.7548 0.7500  0.04